Material: NaVHg
Method: DFT, PBE-GGA
State: relaxed

Values from the calculation:
- Relative energy among the computed polymorphs: 1.039 eV per atom

The structure in CIF format:
```
data_NaVHg
_chemical_formula_sum 'Na2 V2 Hg2'
_cell_length_a 4.8740
_cell_length_b 4.8740
_cell_length_c 10.8802
_cell_angle_alpha 90.00
_cell_angle_beta 90.00
_cell_angle_gamma 120.00
_space_group_name_H-M_alt 'P 63/m m c'
_space_group_IT_number 194
_space_group_name_Hall '-P 6c 2c'
loop_
_atom_site_label
_atom_site_type_symbol
_atom_site_fract_x
_atom_site_fract_y
_atom_site_fract_z
_atom_site_occupancy
Na1 Na 0.3333 0.6667 0.2500 1
V1 V 0.0000 0.0000 0.0000 1
Hg1 Hg 0.0000 0.0000 0.2500 1
```

***

Material: NaVHg
Method: DFT, PBE-GGA
State: relaxed

Values from the calculation:
- Relative energy among the computed polymorphs: 0.049 eV per atom

The structure in CIF format:
```
data_NaVHg
_chemical_formula_sum 'Na2 V2 Hg2'
_cell_length_a 3.193
_cell_length_b 3.193
_cell_length_c 12.327
_cell_angle_alpha 90.00
_cell_angle_beta 90.00
_cell_angle_gamma 90.00
_space_group_name_H-M_alt 'P 4 m m'
_space_group_IT_number 99
loop_
_space_group_symop_operation_xyz
'x,y,z'
'-y,x,z'
'-x,-y,z'
'y,-x,z'
'-x,y,z'
'y,x,z'
'x,-y,z'
'-y,-x,z'
loop_
_atom_site_label
_atom_site_type_symbol
_atom_site_fract_x
_atom_site_fract_y
_atom_site_fract_z
_atom_site_occupancy
Na1 Na 0.000 0.000 0.000 1
Na2 Na 0.000 0.000 0.382 1
V1 V 0.000 0.000 0.660 1
V2 V 0.500 0.500 0.578 1
Hg1 Hg 0.500 0.500 0.192 1
Hg2 Hg 0.500 0.500 0.815 1
```

***

| no. | ΔH_f (0 K) (eV per atom) |
| --- | --- |
| 1 | 1.168 |
| 2 | 0.179 |